First-principles (PBE-GGA) data for HgRhSe2 after structural relaxation, as listed in the Alexandria database.

a b c (Å): 6.866 6.866 6.866
angles (deg): 154.58 142.45 45.89
Fractional coordinates of all 4 atoms:
Hg: 0.436 0.436 0.000
Rh: 0.227 0.727 0.500
Se: 0.072 0.072 0.000
Se: 0.764 0.264 0.500

* E_tot: -3.615 eV/atom
* raw formation energy: 4 kJ per mole of atoms
* space-group type: No. 44
* magnetization: 0.00 μB per atom

First-principles (PBE-GGA) data for HgRh2Se2 after structural relaxation, as listed in the Alexandria database.

a b c (Å): 4.474 4.474 5.918
angles (deg): 67.79 67.79 90.00
Fractional coordinates of all 5 atoms:
Rh: 0.366 0.366 0.268
Rh: 0.634 0.634 0.732
Hg: 0.000 0.000 0.000
Se: 0.750 0.250 0.500
Se: 0.250 0.750 0.500

* E_tot: -4.315 eV/atom
* raw formation energy: 8 kJ per mole of atoms
* space-group type: No. 139
* magnetization: 0.00 μB per atom

First-principles (PBE-GGA) data for HgRhSe2 after structural relaxation, as listed in the Alexandria database.

a b c (Å): 3.700 3.700 7.979
angles (deg): 76.59 76.59 60.00
Fractional coordinates of all 4 atoms:
Hg: 0.498 0.498 0.505
Rh: 0.667 0.667 0.998
Se: 0.058 0.058 0.827
Se: 0.277 0.277 0.170

* E_tot: -3.901 eV/atom
* raw formation energy: -24 kJ per mole of atoms
* space-group type: No. 160
* magnetization: 0.00 μB per atom

First-principles (PBE-GGA) data for HgRhSe2 after structural relaxation, as listed in the Alexandria database.

a b c (Å): 8.403 8.403 6.554
angles (deg): 50.13 50.13 90.00
Fractional coordinates of all 8 atoms:
Rh: 0.750 0.250 0.500
Rh: 0.250 0.750 0.500
Hg: 0.750 0.750 0.500
Hg: 0.250 0.250 0.500
Se: 0.835 0.335 0.000
Se: 0.165 0.665 0.000
Se: 0.335 0.165 0.000
Se: 0.665 0.835 0.000

* E_tot: -3.724 eV/atom
* raw formation energy: -7 kJ per mole of atoms
* space-group type: No. 140
* magnetization: 0.00 μB per atom

First-principles (PBE-GGA) data for Hg2RhSe after structural relaxation, as listed in the Alexandria database.

a b c (Å): 3.446 3.446 7.043
angles (deg): 90.00 90.00 90.00
Fractional coordinates of all 4 atoms:
Hg: 0.000 0.000 0.993
Hg: 0.500 0.500 0.259
Rh: 0.000 0.000 0.570
Se: 0.500 0.500 0.678

* E_tot: -2.796 eV/atom
* raw formation energy: 6 kJ per mole of atoms
* space-group type: No. 99
* magnetization: 0.00 μB per atom

First-principles (PBE-GGA) data for HgRhSe2 after structural relaxation, as listed in the Alexandria database.

a b c (Å): 8.308 3.723 12.189
angles (deg): 90.00 90.00 90.00
Fractional coordinates of all 16 atoms:
Rh: 0.529 0.250 0.373
Rh: 0.971 0.750 0.873
Rh: 0.471 0.750 0.627
Rh: 0.029 0.250 0.127
Hg: 0.999 0.250 0.597
Hg: 0.501 0.750 0.097
Hg: 0.001 0.750 0.403
Hg: 0.499 0.250 0.903
Se: 0.641 0.250 0.559
Se: 0.859 0.750 0.059
Se: 0.359 0.750 0.441
Se: 0.141 0.250 0.941
Se: 0.304 0.250 0.699
Se: 0.196 0.750 0.199
Se: 0.696 0.750 0.301
Se: 0.804 0.250 0.801

* E_tot: -3.800 eV/atom
* raw formation energy: -14 kJ per mole of atoms
* space-group type: No. 62
* magnetization: 0.00 μB per atom

First-principles (PBE-GGA) data for HgRhSe2 after structural relaxation, as listed in the Alexandria database.

a b c (Å): 4.735 4.735 3.573
angles (deg): 90.00 90.00 105.53
Fractional coordinates of all 4 atoms:
Hg: 0.500 0.000 0.500
Rh: 0.000 0.500 0.500
Se: 0.000 0.000 0.000
Se: 0.500 0.500 0.000

* E_tot: -3.314 eV/atom
* raw formation energy: 33 kJ per mole of atoms
* space-group type: No. 65
* magnetization: 0.00 μB per atom

First-principles (PBE-GGA) data for Hg2RhSe after structural relaxation, as listed in the Alexandria database.

a b c (Å): 7.875 7.875 6.211
angles (deg): 50.66 50.66 90.00
Fractional coordinates of all 8 atoms:
Rh: 0.000 0.000 0.000
Rh: 0.750 0.250 0.500
Hg: 0.639 0.125 0.250
Hg: 0.111 0.625 0.250
Hg: 0.375 0.361 0.750
Hg: 0.875 0.889 0.750
Se: 0.500 0.500 0.000
Se: 0.250 0.750 0.500

* E_tot: -2.548 eV/atom
* raw formation energy: 30 kJ per mole of atoms
* space-group type: No. 122
* magnetization: 0.00 μB per atom

First-principles (PBE-GGA) data for HgRhSe after structural relaxation, as listed in the Alexandria database.

a b c (Å): 4.464 4.464 4.464
angles (deg): 60.00 60.00 60.00
Fractional coordinates of all 3 atoms:
Hg: 0.500 0.500 0.500
Rh: 0.750 0.750 0.750
Se: 0.000 0.000 0.000

* E_tot: -3.585 eV/atom
* raw formation energy: 12 kJ per mole of atoms
* space-group type: No. 216
* magnetization: 0.00 μB per atom

First-principles (PBE-GGA) data for HgRhSe2 after structural relaxation, as listed in the Alexandria database.

a b c (Å): 7.052 7.052 7.052
angles (deg): 34.82 34.82 34.82
Fractional coordinates of all 4 atoms:
Rh: 0.992 0.992 0.992
Hg: 0.506 0.506 0.506
Se: 0.113 0.113 0.113
Se: 0.641 0.641 0.641

* E_tot: -3.682 eV/atom
* raw formation energy: -3 kJ per mole of atoms
* space-group type: No. 160
* magnetization: 0.00 μB per atom

First-principles (PBE-GGA) data for Hg4RhSe after structural relaxation, as listed in the Alexandria database.

a b c (Å): 5.751 5.751 5.751
angles (deg): 60.00 60.00 60.00
Fractional coordinates of all 6 atoms:
Hg: 0.125 0.625 0.625
Hg: 0.625 0.625 0.625
Hg: 0.625 0.125 0.625
Hg: 0.625 0.625 0.125
Rh: 0.250 0.250 0.250
Se: 0.000 0.000 0.000

* E_tot: -1.414 eV/atom
* raw formation energy: 57 kJ per mole of atoms
* space-group type: No. 216
* magnetization: 0.00 μB per atom

First-principles (PBE-GGA) data for HgRhSe2 after structural relaxation, as listed in the Alexandria database.

a b c (Å): 4.776 4.776 4.776
angles (deg): 60.00 60.00 60.00
Fractional coordinates of all 4 atoms:
Hg: 0.500 0.500 0.500
Rh: 0.750 0.750 0.750
Se: 0.000 0.000 0.000
Se: 0.250 0.250 0.250

* E_tot: -3.151 eV/atom
* raw formation energy: 49 kJ per mole of atoms
* space-group type: No. 216
* magnetization: 0.00 μB per atom

First-principles (PBE-GGA) data for HgRhSe2 after structural relaxation, as listed in the Alexandria database.

a b c (Å): 3.693 4.841 6.603
angles (deg): 71.77 123.79 89.96
Fractional coordinates of all 4 atoms:
Rh: 0.467 0.223 0.175
Hg: 0.968 0.223 0.675
Se: 0.813 0.589 0.021
Se: 0.122 0.856 0.330

* E_tot: -3.895 eV/atom
* raw formation energy: -23 kJ per mole of atoms
* space-group type: No. 2
* magnetization: 0.00 μB per atom

First-principles (PBE-GGA) data for HgRhSe2 after structural relaxation, as listed in the Alexandria database.

a b c (Å): 13.021 13.021 4.906
angles (deg): 90.00 90.00 167.73
Fractional coordinates of all 8 atoms:
Rh: 0.034 0.966 0.250
Rh: 0.966 0.034 0.750
Hg: 0.291 0.709 0.250
Hg: 0.709 0.291 0.750
Se: 0.132 0.868 0.250
Se: 0.868 0.132 0.750
Se: 0.941 0.059 0.250
Se: 0.059 0.941 0.750

* E_tot: -3.688 eV/atom
* raw formation energy: -3 kJ per mole of atoms
* space-group type: No. 63
* magnetization: 0.00 μB per atom

First-principles (PBE-GGA) data for HgRhSe2 after structural relaxation, as listed in the Alexandria database.

a b c (Å): 13.042 13.042 4.312
angles (deg): 90.00 90.00 165.97
Fractional coordinates of all 8 atoms:
Rh: 0.310 0.690 0.250
Rh: 0.690 0.310 0.750
Hg: 0.041 0.959 0.250
Hg: 0.959 0.041 0.750
Se: 0.211 0.789 0.250
Se: 0.789 0.211 0.750
Se: 0.883 0.117 0.250
Se: 0.117 0.883 0.750

* E_tot: -3.736 eV/atom
* raw formation energy: -8 kJ per mole of atoms
* space-group type: No. 63
* magnetization: 0.00 μB per atom

First-principles (PBE-GGA) data for HgRhSe2 after structural relaxation, as listed in the Alexandria database.

a b c (Å): 7.039 9.690 4.982
angles (deg): 90.00 90.00 90.00
Fractional coordinates of all 16 atoms:
Rh: 0.089 0.427 0.062
Rh: 0.911 0.573 0.562
Rh: 0.411 0.927 0.562
Rh: 0.589 0.073 0.062
Hg: 0.875 0.874 0.062
Hg: 0.125 0.126 0.562
Hg: 0.625 0.374 0.562
Hg: 0.375 0.626 0.062
Se: 0.323 0.916 0.062
Se: 0.677 0.084 0.562
Se: 0.177 0.416 0.562
Se: 0.823 0.584 0.062
Se: 0.061 0.811 0.562
Se: 0.939 0.189 0.062
Se: 0.439 0.311 0.062
Se: 0.561 0.689 0.562

* E_tot: -3.733 eV/atom
* raw formation energy: -7 kJ per mole of atoms
* space-group type: No. 62
* magnetization: 0.00 μB per atom

First-principles (PBE-GGA) data for HgRhSe after structural relaxation, as listed in the Alexandria database.

a b c (Å): 6.887 6.887 3.126
angles (deg): 76.88 76.88 26.23
Fractional coordinates of all 3 atoms:
Hg: 0.019 0.019 0.981
Rh: 0.696 0.696 0.304
Se: 0.285 0.285 0.715

* E_tot: -3.729 eV/atom
* raw formation energy: -2 kJ per mole of atoms
* space-group type: No. 107
* magnetization: 0.00 μB per atom

First-principles (PBE-GGA) data for HgRhSe2 after structural relaxation, as listed in the Alexandria database.

a b c (Å): 6.189 6.189 6.189
angles (deg): 146.59 136.57 55.88
Fractional coordinates of all 4 atoms:
Hg: 0.750 0.250 0.500
Rh: 0.250 0.750 0.500
Se: 0.088 0.088 0.000
Se: 0.412 0.412 0.000

* E_tot: -3.689 eV/atom
* raw formation energy: -3 kJ per mole of atoms
* space-group type: No. 71
* magnetization: 0.00 μB per atom

First-principles (PBE-GGA) data for Hg2RhSe after structural relaxation, as listed in the Alexandria database.

a b c (Å): 3.893 4.922 4.922
angles (deg): 68.84 90.00 90.00
Fractional coordinates of all 4 atoms:
Hg: 0.000 0.013 0.013
Hg: 0.000 0.487 0.487
Rh: 0.500 0.250 0.250
Se: 0.500 0.750 0.750

* E_tot: -2.610 eV/atom
* raw formation energy: 24 kJ per mole of atoms
* space-group type: No. 65
* magnetization: 0.00 μB per atom

First-principles (PBE-GGA) data for HgRhSe2 after structural relaxation, as listed in the Alexandria database.

a b c (Å): 3.756 3.756 7.678
angles (deg): 90.00 90.00 120.00
Fractional coordinates of all 4 atoms:
Rh: 0.000 0.000 0.992
Hg: 0.333 0.667 0.465
Se: 0.333 0.667 0.833
Se: 0.667 0.333 0.165

* E_tot: -3.920 eV/atom
* raw formation energy: -26 kJ per mole of atoms
* space-group type: No. 156
* magnetization: 0.00 μB per atom

First-principles (PBE-GGA) data for HgRhSe2 after structural relaxation, as listed in the Alexandria database.

a b c (Å): 5.393 5.393 6.990
angles (deg): 67.31 67.31 90.00
Fractional coordinates of all 8 atoms:
Rh: 0.500 0.500 0.000
Rh: 0.250 0.750 0.500
Hg: 0.000 0.000 0.000
Hg: 0.750 0.250 0.500
Se: 0.712 0.712 0.576
Se: 0.038 0.538 0.924
Se: 0.288 0.288 0.424
Se: 0.462 0.962 0.076

* E_tot: -3.751 eV/atom
* raw formation energy: -9 kJ per mole of atoms
* space-group type: No. 141
* magnetization: 0.00 μB per atom

First-principles (PBE-GGA) data for Hg2RhSe after structural relaxation, as listed in the Alexandria database.

a b c (Å): 4.816 4.816 4.816
angles (deg): 60.00 60.00 60.00
Fractional coordinates of all 4 atoms:
Hg: 0.000 0.000 0.000
Hg: 0.250 0.250 0.250
Rh: 0.500 0.500 0.500
Se: 0.750 0.750 0.750

* E_tot: -2.495 eV/atom
* raw formation energy: 35 kJ per mole of atoms
* space-group type: No. 216
* magnetization: 0.00 μB per atom

First-principles (PBE-GGA) data for Hg2RhSe after structural relaxation, as listed in the Alexandria database.

a b c (Å): 7.782 7.782 7.782
angles (deg): 27.10 27.10 27.10
Fractional coordinates of all 4 atoms:
Hg: 0.996 0.996 0.996
Hg: 0.504 0.504 0.504
Rh: 0.250 0.250 0.250
Se: 0.750 0.750 0.750

* E_tot: -2.570 eV/atom
* raw formation energy: 28 kJ per mole of atoms
* space-group type: No. 166
* magnetization: 0.00 μB per atom

First-principles (PBE-GGA) data for Hg2RhSe after structural relaxation, as listed in the Alexandria database.

a b c (Å): 3.672 3.687 5.837
angles (deg): 90.00 90.00 90.00
Fractional coordinates of all 4 atoms:
Hg: 0.000 0.000 0.010
Hg: 0.000 0.000 0.490
Rh: 0.500 0.500 0.250
Se: 0.500 0.500 0.750

* E_tot: -2.597 eV/atom
* raw formation energy: 25 kJ per mole of atoms
* space-group type: No. 47
* magnetization: 0.00 μB per atom

First-principles (PBE-GGA) data for HgRhSe2 after structural relaxation, as listed in the Alexandria database.

a b c (Å): 18.222 7.225 7.225
angles (deg): 94.91 115.13 64.87
Fractional coordinates of all 32 atoms:
Rh: 0.178 0.022 0.147
Rh: 0.322 0.647 0.522
Rh: 0.822 0.978 0.853
Rh: 0.678 0.353 0.478
Rh: 0.312 0.103 0.472
Rh: 0.188 0.972 0.603
Rh: 0.688 0.897 0.528
Rh: 0.812 0.028 0.397
Hg: 0.485 0.240 0.987
Hg: 0.015 0.487 0.740
Hg: 0.515 0.760 0.013
Hg: 0.985 0.513 0.260
Hg: 0.345 0.020 0.131
Hg: 0.155 0.631 0.520
Hg: 0.655 0.980 0.869
Hg: 0.845 0.369 0.480
Se: 0.935 0.892 0.735
Se: 0.565 0.235 0.392
Se: 0.065 0.108 0.265
Se: 0.435 0.765 0.608
Se: 0.672 0.302 0.126
Se: 0.828 0.626 0.802
Se: 0.328 0.698 0.874
Se: 0.172 0.374 0.198
Se: 0.589 0.725 0.420
Se: 0.911 0.920 0.225
Se: 0.411 0.275 0.580
Se: 0.089 0.080 0.775
Se: 0.750 0.346 0.846
Se: 0.250 0.654 0.154
Se: 0.750 0.780 0.280
Se: 0.250 0.220 0.720

* E_tot: -3.803 eV/atom
* raw formation energy: -14 kJ per mole of atoms
* space-group type: No. 15
* magnetization: 0.00 μB per atom

First-principles (PBE-GGA) data for HgRhSe2 after structural relaxation, as listed in the Alexandria database.

a b c (Å): 11.987 5.411 5.411
angles (deg): 79.78 123.84 56.16
Fractional coordinates of all 8 atoms:
Rh: 0.254 0.595 0.655
Rh: 0.754 0.845 0.905
Hg: 0.255 0.178 0.072
Hg: 0.755 0.428 0.322
Se: 0.169 0.181 0.472
Se: 0.669 0.028 0.319
Se: 0.340 0.521 0.326
Se: 0.840 0.174 0.979

* E_tot: -3.792 eV/atom
* raw formation energy: -13 kJ per mole of atoms
* space-group type: No. 43
* magnetization: 0.00 μB per atom